(1)
# SrSnSb3

SrSnSb3 after structural relaxation (GGA-PBE, Alexandria via LeMat-Bulk).

Results
Raw formation energy ... 0.77 eV per atom
Density ... 4.55 g/cm³
DOS at the Fermi energy ... 0.98 states/eV per atom
Spin magnetization ... 0.000 μB per formula unit
Offset from the most stable computed form ... 621 meV/atom
Space-group type ... Pm-3m (221)

Cell and atoms, written as POSCAR:
```
SrSnSb3
1.0
5.932 0.000 0.000
0.000 5.932 0.000
0.000 0.000 5.932
Sr Sn Sb
1 1 3
Direct
0.000 0.000 0.000
0.500 0.500 0.500
0.000 0.000 0.500
0.000 0.500 0.000
0.500 0.000 0.000
```

=====

(2)
# SrSnSb2

SrSnSb2 after structural relaxation (GGA-PBE, Alexandria via LeMat-Bulk).

Results
Raw formation energy ... -0.42 eV per atom
Density ... 6.32 g/cm³
DOS at the Fermi energy ... 0.80 states/eV per atom
Spin magnetization ... 0.000 μB per formula unit
Space-group type ... P4/mmm (123)

Cell and atoms, written as POSCAR:
```
SrSnSb2
1.0
5.074 0.000 0.000
0.000 5.074 0.000
0.000 0.000 4.590
Sr Sn Sb
1 1 2
Direct
0.000 0.000 0.000
0.500 0.500 0.000
0.000 0.500 0.500
0.500 0.000 0.500
```